Record 1
The following is a PBE-GGA calculation of an optimized crystal structure of LiTcSb2, from the Alexandria database.

Summary:
- formation energy (no corrections) (eV/atom) = 0.1948
- DOS(E_F) (states/eV per atom) = 0.74
- raw total energy (eV/atom) = -4.94
- energy above the lowest structure with this stoichiometry (eV per atom) = 0.3670

Cell: 3.653 4.101 5.121 Å, 90.00 90.00 90.00°
Atoms (fractional coordinates):
Li: 0.000 0.000 0.000
Tc: 0.500 0.000 0.500
Sb: 0.000 0.500 0.500
Sb: 0.500 0.500 0.000


Record 2
The following is a PBE-GGA calculation of an optimized crystal structure of ScCdGe2Te, from the Alexandria database.

Summary:
- formation energy (no corrections) (eV/atom) = 0.4786
- DOS(E_F) (states/eV per atom) = 0.86
- raw total energy (eV/atom) = -3.45

Cell: 4.992 4.992 5.607 Å, 90.00 90.00 90.00°
Atoms (fractional coordinates):
Sc: 0.000 0.000 0.000
Cd: 0.000 0.000 0.500
Ge: 0.000 0.500 0.500
Ge: 0.500 0.000 0.500
Te: 0.500 0.500 0.000


Record 3
The following is a PBE-GGA calculation of an optimized crystal structure of Sm2YPd, from the Alexandria database.

Summary:
- DOS(E_F) (states/eV per atom) = 1.11
- raw total energy (eV/atom) = -5.70
- formation energy from the elements (meV per atom) = -424
- energy above the lowest structure with this stoichiometry (eV per atom) = 0.0165

Cell: 6.383 6.383 9.673 Å, 90.00 90.00 144.75°
Atoms (fractional coordinates):
Sm: 0.136 0.864 0.560
Sm: 0.136 0.864 0.940
Sm: 0.864 0.136 0.060
Sm: 0.864 0.136 0.440
Y: 0.431 0.569 0.750
Y: 0.569 0.431 0.250
Pd: 0.265 0.735 0.250
Pd: 0.735 0.265 0.750


Record 4
The following is a PBE-GGA calculation of an optimized crystal structure of Sr3Cd2Ag9, from the Alexandria database.

Summary:
- DOS(E_F) (states/eV per atom) = 0.38
- raw total energy (eV/atom) = -2.55
- formation energy from the elements (meV per atom) = -222

Cell: 8.968 8.968 8.968 Å, 148.83 113.77 75.01°
Atoms (fractional coordinates):
Sr: 0.000 0.000 0.000
Sr: 0.297 0.297 0.000
Sr: 0.703 0.703 0.000
Cd: 0.302 0.500 0.802
Cd: 0.698 0.500 0.198
Ag: 0.027 0.671 0.356
Ag: 0.152 0.870 0.282
Ag: 0.315 0.671 0.644
Ag: 0.412 0.130 0.282
Ag: 0.500 0.000 0.500
Ag: 0.588 0.870 0.718
Ag: 0.685 0.329 0.356
Ag: 0.848 0.130 0.718
Ag: 0.973 0.329 0.644


Record 5
The following is a PBE-GGA calculation of an optimized crystal structure of K3TcPt, from the Alexandria database.

Summary:
- DOS(E_F) (states/eV per atom) = 2.08
- raw total energy (eV/atom) = -2.84
- formation energy from the elements (meV per atom) = 1102
- energy above the lowest structure with this stoichiometry (eV per atom) = 0.0000

Cell: 6.122 6.122 6.122 Å, 90.00 90.00 90.00°
Atoms (fractional coordinates):
K: 0.000 0.000 0.500
K: 0.000 0.500 0.000
K: 0.500 0.000 0.000
Tc: 0.500 0.500 0.500
Pt: 0.000 0.000 0.000


Record 6
The following is a PBE-GGA calculation of an optimized crystal structure of In12Ag3F5, from the Alexandria database.

Summary:
- formation energy (no corrections) (eV/atom) = -0.6361
- DOS(E_F) (states/eV per atom) = 0.27
- raw total energy (eV/atom) = -3.17

Cell: 13.758 13.758 13.758 Å, 109.47 109.47 109.47°
Atoms (fractional coordinates):
In: 0.040 0.219 0.124
In: 0.040 0.321 0.916
In: 0.084 0.624 0.405
In: 0.084 0.960 0.679
In: 0.095 0.719 0.679
In: 0.095 0.876 0.416
In: 0.124 0.040 0.219
In: 0.124 0.584 0.905
In: 0.179 0.219 0.595
In: 0.179 0.460 0.584
In: 0.219 0.124 0.040
In: 0.219 0.595 0.179
In: 0.281 0.321 0.905
In: 0.281 0.460 0.376
In: 0.321 0.905 0.281
In: 0.321 0.916 0.040
In: 0.376 0.281 0.460
In: 0.376 0.595 0.916
In: 0.405 0.084 0.624
In: 0.405 0.821 0.781
In: 0.416 0.095 0.876
In: 0.416 0.821 0.540
In: 0.460 0.376 0.281
In: 0.460 0.584 0.179
In: 0.540 0.416 0.821
In: 0.540 0.624 0.719
In: 0.584 0.179 0.460
In: 0.584 0.905 0.124
In: 0.595 0.179 0.219
In: 0.595 0.916 0.376
In: 0.624 0.405 0.084
In: 0.624 0.719 0.540
In: 0.679 0.084 0.960
In: 0.679 0.095 0.719
In: 0.719 0.540 0.624
In: 0.719 0.679 0.095
In: 0.781 0.405 0.821
In: 0.781 0.876 0.960
In: 0.821 0.540 0.416
In: 0.821 0.781 0.405
In: 0.876 0.416 0.095
In: 0.876 0.960 0.781
In: 0.905 0.124 0.584
In: 0.905 0.281 0.321
In: 0.916 0.040 0.321
In: 0.916 0.376 0.595
In: 0.960 0.679 0.084
In: 0.960 0.781 0.876
Ag: 0.125 0.250 0.375
Ag: 0.125 0.375 0.750
Ag: 0.250 0.375 0.125
Ag: 0.250 0.875 0.625
Ag: 0.375 0.125 0.250
Ag: 0.375 0.750 0.125
Ag: 0.625 0.250 0.875
Ag: 0.625 0.875 0.750
Ag: 0.750 0.125 0.375
Ag: 0.750 0.625 0.875
Ag: 0.875 0.625 0.250
Ag: 0.875 0.750 0.625
F: 0.000 0.000 0.000
F: 0.000 0.000 0.500
F: 0.000 0.500 0.000
F: 0.000 0.500 0.500
F: 0.125 0.750 0.875
F: 0.125 0.875 0.250
F: 0.250 0.125 0.875
F: 0.250 0.625 0.375
F: 0.375 0.250 0.625
F: 0.375 0.625 0.750
F: 0.500 0.000 0.000
F: 0.500 0.000 0.500
F: 0.500 0.500 0.000
F: 0.500 0.500 0.500
F: 0.625 0.375 0.250
F: 0.625 0.750 0.375
F: 0.750 0.375 0.625
F: 0.750 0.875 0.125
F: 0.875 0.125 0.750
F: 0.875 0.250 0.125


Record 7
The following is a PBE-GGA calculation of an optimized crystal structure of CuReW2, from the Alexandria database.

Summary:
- DOS(E_F) (states/eV per atom) = 0.88
- raw total energy (eV/atom) = -9.63
- formation energy from the elements (meV per atom) = 980
- energy above the lowest structure with this stoichiometry (eV per atom) = 0.7561

Cell: 5.651 5.651 5.651 Å, 102.88 102.88 123.66°
Atoms (fractional coordinates):
Cu: 0.000 0.000 0.000
Cu: 0.750 0.250 0.500
Re: 0.250 0.750 0.500
Re: 0.500 0.500 0.000
W: 0.137 0.625 0.012
W: 0.375 0.387 0.512
W: 0.613 0.125 0.988
W: 0.875 0.863 0.488


Record 8
The following is a PBE-GGA calculation of an optimized crystal structure of Pr3Nd2Tl, from the Alexandria database.

Summary:
- DOS(E_F) (states/eV per atom) = 1.59
- raw total energy (eV/atom) = -4.26
- formation energy from the elements (meV per atom) = 112
- energy above the lowest structure with this stoichiometry (eV per atom) = 0.2213

Cell: 9.687 9.687 9.687 Å, 158.80 45.75 139.95°
Atoms (fractional coordinates):
Pr: 0.000 0.000 0.000
Pr: 0.133 0.775 0.358
Pr: 0.416 0.775 0.642
Nd: 0.592 0.277 0.315
Nd: 0.962 0.277 0.685
Tl: 0.563 0.063 0.500


Record 9
The following is a PBE-GGA calculation of an optimized crystal structure of Dy2Er6Tm, from the Alexandria database.

Summary:
- DOS(E_F) (states/eV per atom) = 1.26
- raw total energy (eV/atom) = -4.54
- formation energy from the elements (meV per atom) = 23

Cell: 10.504 10.504 4.963 Å, 90.00 90.00 90.00°
Atoms (fractional coordinates):
Dy: 0.166 0.166 0.000
Dy: 0.334 0.666 0.500
Dy: 0.666 0.334 0.500
Dy: 0.834 0.834 0.000
Er: 0.000 0.333 0.500
Er: 0.000 0.667 0.500
Er: 0.167 0.500 0.000
Er: 0.167 0.833 0.000
Er: 0.333 0.000 0.500
Er: 0.333 0.333 0.500
Er: 0.500 0.167 0.000
Er: 0.500 0.833 0.000
Er: 0.667 0.000 0.500
Er: 0.667 0.667 0.500
Er: 0.833 0.167 0.000
Er: 0.833 0.500 0.000
Tm: 0.000 0.000 0.500
Tm: 0.500 0.500 0.000


Record 10
The following is a PBE-GGA calculation of an optimized crystal structure of LiMgNi3, from the Alexandria database.

Summary:
- DOS(E_F) (states/eV per atom) = 1.29
- raw total energy (eV/atom) = -3.17
- formation energy from the elements (meV per atom) = 997
- energy above the lowest structure with this stoichiometry (eV per atom) = 0.5209

Cell: 4.447 4.447 4.447 Å, 90.00 90.00 90.00°
Atoms (fractional coordinates):
Li: 0.000 0.000 0.000
Mg: 0.500 0.500 0.500
Ni: 0.000 0.500 0.500
Ni: 0.500 0.000 0.500
Ni: 0.500 0.500 0.000


Record 11
The following is a PBE-GGA calculation of an optimized crystal structure of Rb3SnCl7, from the Alexandria database.

Summary:
- formation energy (no corrections) (eV/atom) = -1.5059
- DOS(E_F) (states/eV per atom) = 0.00
- raw total energy (eV/atom) = -3.31

Cell: 6.836 6.836 8.695 Å, 102.09 102.09 91.08°
Atoms (fractional coordinates):
Rb: 0.000 0.000 0.000
Rb: 0.349 0.812 0.561
Rb: 0.812 0.349 0.561
Sn: 0.484 0.484 0.068
Cl: 0.137 0.489 0.917
Cl: 0.361 0.361 0.289
Cl: 0.465 0.830 0.212
Cl: 0.489 0.137 0.917
Cl: 0.610 0.610 0.854
Cl: 0.830 0.465 0.212
Cl: 0.891 0.891 0.611


Record 12
The following is a PBE-GGA calculation of an optimized crystal structure of KLa2Dy3Te6, from the Alexandria database.

Summary:
- formation energy (no corrections) (eV/atom) = -1.4107
- DOS(E_F) (states/eV per atom) = 0.41
- raw total energy (eV/atom) = -5.04

Cell: 10.135 10.135 9.172 Å, 104.33 104.33 25.27°
Atoms (fractional coordinates):
K: 0.000 0.000 0.000
La: 0.330 0.330 0.658
La: 0.670 0.670 0.342
Dy: 0.000 0.000 0.500
Dy: 0.336 0.336 0.176
Dy: 0.664 0.664 0.824
Te: 0.162 0.162 0.591
Te: 0.173 0.173 0.074
Te: 0.498 0.498 0.267
Te: 0.502 0.502 0.733
Te: 0.827 0.827 0.926
Te: 0.838 0.838 0.409


Record 13
The following is a PBE-GGA calculation of an optimized crystal structure of Ag2CF, from the Alexandria database.

Summary:
- formation energy (no corrections) (eV/atom) = 0.8433
- DOS(E_F) (states/eV per atom) = 0.83
- raw total energy (eV/atom) = -3.36
- energy above the lowest structure with this stoichiometry (eV per atom) = 0.2993

Cell: 4.169 4.169 4.169 Å, 60.00 60.00 60.00°
Atoms (fractional coordinates):
Ag: 0.250 0.250 0.250
Ag: 0.750 0.750 0.750
C: 0.000 0.000 0.000
F: 0.500 0.500 0.500


Record 14
The following is a PBE-GGA calculation of an optimized crystal structure of YIn2Ru, from the Alexandria database.

Summary:
- DOS(E_F) (states/eV per atom) = 0.78
- raw total energy (eV/atom) = -5.43
- formation energy from the elements (meV per atom) = -123

Cell: 3.356 4.757 5.679 Å, 90.00 104.35 90.00°
Atoms (fractional coordinates):
Y: 0.000 0.000 0.000
In: 0.360 0.500 0.725
In: 0.640 0.500 0.275
Ru: 0.500 0.000 0.500


Record 15
The following is a PBE-GGA calculation of an optimized crystal structure of TbHo4Pd, from the Alexandria database.

Summary:
- DOS(E_F) (states/eV per atom) = 1.26
- raw total energy (eV/atom) = -4.89
- formation energy from the elements (meV per atom) = -205

Cell: 7.974 7.974 6.048 Å, 100.05 100.05 110.20°
Atoms (fractional coordinates):
Tb: 0.103 0.897 0.750
Tb: 0.897 0.103 0.250
Ho: 0.130 0.330 0.868
Ho: 0.214 0.565 0.445
Ho: 0.330 0.130 0.368
Ho: 0.435 0.786 0.055
Ho: 0.565 0.214 0.945
Ho: 0.670 0.870 0.632
Ho: 0.786 0.435 0.555
Ho: 0.870 0.670 0.132
Pd: 0.498 0.502 0.750
Pd: 0.502 0.498 0.250


Record 16
The following is a PBE-GGA calculation of an optimized crystal structure of NaAgOs2O, from the Alexandria database.

Summary:
- formation energy (no corrections) (eV/atom) = 2.4198
- DOS(E_F) (states/eV per atom) = 1.46
- raw total energy (eV/atom) = -3.90

Cell: 4.859 4.859 3.850 Å, 90.00 90.00 90.00°
Atoms (fractional coordinates):
Na: 0.000 0.000 0.000
Ag: 0.500 0.500 0.500
Os: 0.000 0.500 0.000
Os: 0.500 0.000 0.000
O: 0.000 0.000 0.500


Record 17
The following is a PBE-GGA calculation of an optimized crystal structure of Mg2CuMo, from the Alexandria database.

Summary:
- DOS(E_F) (states/eV per atom) = 0.70
- raw total energy (eV/atom) = -4.21
- formation energy from the elements (meV per atom) = 317
- energy above the lowest structure with this stoichiometry (eV per atom) = 0.1598

Cell: 5.546 5.546 5.546 Å, 150.78 128.00 60.76°
Atoms (fractional coordinates):
Mg: 0.227 0.227 0.000
Mg: 0.773 0.773 0.000
Cu: 0.000 0.500 0.500
Mo: 0.500 0.000 0.500


Record 18
The following is a PBE-GGA calculation of an optimized crystal structure of Li3TeOs, from the Alexandria database.

Summary:
- formation energy (no corrections) (eV/atom) = 0.7347
- DOS(E_F) (states/eV per atom) = 0.28
- raw total energy (eV/atom) = -3.29
- energy above the lowest structure with this stoichiometry (eV per atom) = 0.0000

Cell: 4.894 4.894 4.894 Å, 90.00 90.00 90.00°
Atoms (fractional coordinates):
Li: 0.000 0.000 0.500
Li: 0.000 0.500 0.000
Li: 0.500 0.000 0.000
Te: 0.500 0.500 0.500
Os: 0.000 0.000 0.000


Record 19
The following is a PBE-GGA calculation of an optimized crystal structure of CaTaCo2, from the Alexandria database.

Summary:
- DOS(E_F) (states/eV per atom) = 0.60
- raw total energy (eV/atom) = -6.46
- formation energy from the elements (meV per atom) = 552
- energy above the lowest structure with this stoichiometry (eV per atom) = 0.5638

Cell: 5.736 5.736 5.736 Å, 105.88 105.88 116.93°
Atoms (fractional coordinates):
Ca: 0.000 0.000 0.000
Ca: 0.750 0.250 0.500
Ta: 0.250 0.750 0.500
Ta: 0.500 0.500 0.000
Co: 0.168 0.625 0.043
Co: 0.375 0.418 0.543
Co: 0.582 0.125 0.957
Co: 0.875 0.832 0.457


Record 20
The following is a PBE-GGA calculation of an optimized crystal structure of Na2SiAu5, from the Alexandria database.

Summary:
- formation energy (no corrections) (eV/atom) = -0.2438
- DOS(E_F) (states/eV per atom) = 0.33
- raw total energy (eV/atom) = -3.30

Cell: 6.802 6.802 6.802 Å, 128.63 128.63 75.60°
Atoms (fractional coordinates):
Na: 0.000 0.500 0.500
Na: 0.500 0.000 0.500
Si: 0.358 0.358 0.000
Au: 0.517 0.517 0.519
Au: 0.517 0.998 0.000
Au: 0.575 0.575 0.000
Au: 0.998 0.517 0.000
Au: 0.998 0.998 0.481